Here is a relaxed structure of Cs4Br2Cl from Alexandria via LeMat-Bulk. Energies are from PBE.

For the calculated volume, the calculation gives 57.6 Å³/atom. Its formation energy without anion corrections is -1.56 eV per atom. As for the offset from the most stable computed form: 0 meV/atom.

a b c (Å): 5.1753 5.1753 52.1541
angles (deg): 90.00 90.00 120.00
Space group R-3m (No. 166, hexagonal axes)
Unique sites:
Cs1 0.0000 0.0000 0.1210
Cs2 0.0000 0.0000 0.2955
Br1 0.0000 0.0000 0.4128
Cl1 0.0000 0.0000 0.0000

=====

Here is a relaxed structure of CsBrCl3 from Alexandria via LeMat-Bulk. Energies are from PBE.

For the calculated volume, the calculation gives 42.6 Å³/atom. Its formation energy without anion corrections is -0.67 eV per atom.

a b c (Å): 4.9976 4.9976 34.1094
angles (deg): 90.00 90.00 90.00
Space group I-4m2 (No. 119)
Unique sites:
Cs1 0.0000 0.0000 0.0000
Cs2 0.0000 0.5000 0.2500
Br1 0.0000 0.5000 0.6901
Cl1 0.0000 0.0000 0.3209
Cl2 0.0000 0.2531 0.0895

=====

Here is a relaxed structure of CsBrCl3 from Alexandria via LeMat-Bulk. Energies are from PBE.

For the calculated volume, the calculation gives 41.6 Å³/atom. Its formation energy without anion corrections is -0.86 eV per atom.

a b c (Å): 6.6444 7.0932 10.2322
angles (deg): 100.10 102.04 112.91
Space group P1 (No. 1)
Unique sites:
Cs1 0.0000 0.0000 0.0000
Cs2 0.1989 0.7502 0.4683
Br1 0.0983 0.3736 0.7336
Br2 0.5996 0.3746 0.2342
Cl1 0.3189 0.2681 0.3584
Cl2 0.3265 0.7558 0.8320
Cl3 0.5182 0.8305 0.1272
Cl4 0.6788 0.9175 0.3392
Cl5 0.8703 0.9917 0.6353
Cl6 0.8803 0.4813 0.1099

=====

For reference, DOS(E_F) by record: 0.2184; 0.1378; 0.0000 states/eV/atom.
For reference, E by record: -0.205; -0.168; -0.182 Ry per atom.